VASP calculation (PBE) on an optimized crystal structure of PmTeCl.

a = 4.2398 Å, b = 4.2398 Å, c = 11.5529 Å
α = 100.57°, β = 100.57°, γ = 90.00°
Last column: nearest neighbours and their distance in Å.
Fractional coordinates of all 6 atoms:
Pm 0.6002 0.1002 0.2004  2 Cl 2.81
Pm 0.8998 0.3998 0.7996  2 Cl 2.81
Te 0.0492 0.5492 0.0983  5 Pm 3.21-3.33
Te 0.4508 0.9508 0.9017  5 Pm 3.21-3.33
Cl 0.6828 0.6828 0.3656  2 Pm 2.81
Cl 0.3172 0.3172 0.6344  2 Pm 2.81

Calculated values
Its polymorph energy (0 for the lowest one) is 0.063 eV/atom. The total magnetization comes out at 0.00 μB per formula unit. The calculation puts the raw total energy at -4.9769 eV/atom. The calculation puts the formation energy from raw total energies at -1.73 eV/atom. Its symmetry is I-4m2 (119).